First-principles (PBE) data for an optimized crystal structure of CsNdPu2O7, as listed in Alexandria.

The structure in POSCAR format:
```
CsNdPu2O7
1.0
4.275 0.000 0.000
0.000 4.275 0.000
0.000 0.000 11.204
Cs Nd Pu O
1 1 2 7
Cartesian
0.000 0.000 0.000 Cs
0.000 0.000 5.602 Nd
2.137 2.137 3.508 Pu
2.137 2.137 7.695 Pu
0.000 2.137 4.006 O
0.000 2.137 7.198 O
2.137 0.000 4.006 O
2.137 0.000 7.198 O
2.137 2.137 1.596 O
2.137 2.137 5.602 O
2.137 2.137 9.607 O
```

Output
**E_form (uncorrected)**: -2.7274 eV per atom
**V**: 18.61 Å³ per atom
**SG**: P4/mmm
**Crystal system**: tetragonal


First-principles (PBE) data for an optimized crystal structure of TlZn2NiGe, as listed in Alexandria.

The structure in POSCAR format:
```
TlZn2NiGe
1.0
4.760 0.000 0.000
0.000 4.760 0.000
0.000 0.000 4.489
Tl Zn Ni Ge
1 2 1 1
Cartesian
0.000 0.000 0.000 Tl
0.000 2.380 2.245 Zn
2.380 0.000 2.245 Zn
2.380 2.380 2.245 Ni
2.380 2.380 0.000 Ge
```

Output
**V**: 20.35 Å³ per atom
**SG**: P4/mmm
**Crystal system**: tetragonal
**Energy of formation from the pure elements**: 0.3 eV per formula unit


First-principles (PBE) data for an optimized crystal structure of LuAl2Cu, as listed in Alexandria.

The structure in POSCAR format:
```
LuAl2Cu
1.0
1.535 0.886 9.084
-1.535 0.886 9.084
0.000 -1.773 9.084
Lu Al Cu
1 2 1
Cartesian
0.000 0.000 0.000 Lu
0.000 0.000 6.473 Al
0.000 0.000 20.779 Al
0.000 0.000 13.626 Cu
```

Output
**V**: 18.54 Å³ per atom
**SG**: R-3m
**Crystal system**: trigonal
**Energy of formation from the pure elements**: 0.1 eV per formula unit


First-principles (PBE) data for an optimized crystal structure of DyCdPb2, as listed in Alexandria.

The structure in POSCAR format:
```
DyCdPb2
1.0
2.344 1.353 6.432
-2.344 1.353 6.432
0.000 -2.706 6.432
Dy Cd Pb
1 1 2
Cartesian
0.000 0.000 0.000 Dy
0.000 0.000 3.414 Cd
0.000 0.000 8.180 Pb
0.000 0.000 11.350 Pb
```

Output
**V**: 30.59 Å³ per atom
**SG**: R3m
**Polymorph energy (0 for the lowest one)**: 226 meV per atom
**Crystal system**: trigonal
**Energy of formation from the pure elements**: -0.3 eV per formula unit


First-principles (PBE) data for an optimized crystal structure of NaYCo2Sb, as listed in Alexandria.

The structure in POSCAR format:
```
NaYCo2Sb
1.0
4.967 0.000 0.000
0.000 4.967 0.000
0.000 0.000 5.810
Na Y Co Sb
1 1 2 1
Cartesian
0.000 0.000 0.000 Na
2.484 2.484 2.905 Y
0.000 2.484 2.905 Co
2.484 0.000 2.905 Co
2.484 2.484 0.000 Sb
```

Output
**E_form (uncorrected)**: 1.0344 eV per atom
**V**: 28.67 Å³ per atom
**SG**: P4/mmm
**Crystal system**: tetragonal


First-principles (PBE) data for an optimized crystal structure of Li3AlF7, as listed in Alexandria.

The structure in POSCAR format:
```
Li3AlF7
1.0
3.245 -3.706 0.000
3.245 3.706 0.000
-2.327 0.000 4.705
Li Al F
3 1 7
Cartesian
0.000 0.000 0.000 Li
2.314 1.766 2.984 Li
2.314 -1.766 2.984 Li
2.986 0.000 0.125 Al
-0.583 0.000 3.398 F
0.662 1.819 4.387 F
1.575 0.000 1.207 F
3.926 1.015 1.730 F
2.219 0.000 3.929 F
0.662 -1.819 4.387 F
3.926 -1.015 1.730 F
```

Output
**E_form (uncorrected)**: -2.7950 eV per atom
**V**: 10.29 Å³ per atom
**SG**: Cm
**Crystal system**: monoclinic


First-principles (PBE) data for an optimized crystal structure of Tb2Ge3Rh2, as listed in Alexandria.

The structure in POSCAR format:
```
Tb2Ge3Rh2
1.0
2.057 -9.061 0.000
2.057 9.061 0.000
0.000 0.000 7.128
Tb Ge Rh
4 6 4
Cartesian
2.057 8.022 5.346 Tb
2.057 6.179 1.782 Tb
2.057 -6.179 5.346 Tb
2.057 -8.022 1.782 Tb
2.057 5.026 5.346 Ge
2.057 1.143 4.044 Ge
2.057 1.143 6.647 Ge
2.057 -1.143 0.481 Ge
2.057 -1.143 3.083 Ge
2.057 -5.026 1.782 Ge
2.057 3.502 0.348 Rh
2.057 3.502 3.216 Rh
2.057 -3.502 3.912 Rh
2.057 -3.502 6.780 Rh
```

Output
**V**: 18.98 Å³ per atom
**SG**: Cmcm
**Polymorph energy (0 for the lowest one)**: 0 meV per atom
**Crystal system**: orthorhombic
**Energy of formation from the pure elements**: -6.1 eV per formula unit


First-principles (PBE) data for an optimized crystal structure of Nb2NiBi2Se6, as listed in Alexandria.

The structure in POSCAR format:
```
Nb2NiBi2Se6
1.0
3.095 -5.593 0.000
3.095 5.593 0.000
-2.335 0.000 7.940
Nb Ni Bi Se
2 1 2 6
Cartesian
3.095 4.081 0.000 Nb
3.095 -4.081 0.000 Nb
3.095 0.000 0.000 Ni
1.928 3.343 3.970 Bi
1.928 -3.343 3.970 Bi
-1.124 0.000 6.246 Se
2.144 1.927 1.429 Se
1.712 1.927 6.511 Se
2.144 -1.927 1.429 Se
1.712 -1.927 6.511 Se
4.980 0.000 1.694 Se
```

Output
**E_form (uncorrected)**: -0.3887 eV per atom
**V**: 24.99 Å³ per atom
**SG**: C2/m
**Crystal system**: monoclinic


First-principles (PBE) data for an optimized crystal structure of Ca4AlIn, as listed in Alexandria.

The structure in POSCAR format:
```
Ca4AlIn
1.0
4.763 -7.304 0.000
4.763 7.304 0.000
-2.014 0.000 5.590
Ca Al In
8 2 2
Cartesian
1.739 4.693 5.210 Ca
1.567 1.066 3.680 Ca
4.766 4.693 3.176 Ca
2.574 -1.066 0.885 Ca
4.938 1.066 4.705 Ca
2.746 -4.693 2.415 Ca
5.945 -1.066 1.910 Ca
5.773 -4.693 0.380 Ca
3.253 7.279 4.193 Al
4.259 -7.279 1.398 Al
4.259 1.934 1.398 In
3.253 -1.934 4.193 In
```

Output
**V**: 32.41 Å³ per atom
**SG**: C2/c
**Polymorph energy (0 for the lowest one)**: 0 meV per atom
**Crystal system**: monoclinic
**Energy of formation from the pure elements**: -1.5 eV per formula unit


First-principles (PBE) data for an optimized crystal structure of NbBi2Os, as listed in Alexandria.

The structure in POSCAR format:
```
NbBi2Os
1.0
-4.809 4.809 2.448
4.809 -4.809 2.448
4.809 4.809 -2.448
Nb Bi Os
2 4 2
Cartesian
0.000 0.000 0.000 Nb
0.000 4.809 1.224 Nb
2.404 3.536 -0.612 Bi
6.081 2.404 0.612 Bi
2.404 1.273 1.836 Bi
-1.273 2.404 3.060 Bi
4.809 0.000 1.224 Os
0.000 0.000 2.448 Os
```

Output
**V**: 28.30 Å³ per atom
**SG**: I-42d
**Polymorph energy (0 for the lowest one)**: 179 meV per atom
**Crystal system**: tetragonal
**Energy of formation from the pure elements**: 3.6 eV per formula unit


First-principles (PBE) data for an optimized crystal structure of Be2FeCoH, as listed in Alexandria.

The structure in POSCAR format:
```
Be2FeCoH
1.0
3.548 0.000 0.000
0.000 3.548 0.000
0.000 0.000 3.152
Be Fe Co H
2 1 1 1
Cartesian
0.000 1.774 0.000 Be
1.774 0.000 0.000 Be
0.000 0.000 1.576 Fe
1.774 1.774 1.576 Co
1.774 1.774 0.000 H
```

Output
**V**: 7.94 Å³ per atom
**SG**: P4/mmm
**Polymorph energy (0 for the lowest one)**: 0 meV per atom
**Crystal system**: tetragonal


First-principles (PBE) data for an optimized crystal structure of CrIrSe, as listed in Alexandria.

The structure in POSCAR format:
```
CrIrSe
1.0
0.000 2.982 2.982
2.982 0.000 2.982
2.982 2.982 0.000
Cr Ir Se
1 1 1
Cartesian
0.000 0.000 0.000 Cr
1.491 1.491 1.491 Ir
2.982 2.982 2.982 Se
```

Output
**E_form (uncorrected)**: 0.1322 eV per atom
**V**: 17.68 Å³ per atom
**SG**: F-43m
**Polymorph energy (0 for the lowest one)**: 36 meV per atom
**Crystal system**: cubic


First-principles (PBE) data for an optimized crystal structure of In2CuSe, as listed in Alexandria.

The structure in POSCAR format:
```
In2CuSe
1.0
4.056 0.000 0.000
0.000 3.828 0.000
-1.987 0.000 5.848
In Cu Se
2 1 1
Cartesian
0.000 0.000 0.000 In
0.014 1.914 3.722 In
2.032 1.914 0.651 Cu
2.034 0.000 2.400 Se
```

Output
**E_form (uncorrected)**: -0.0721 eV per atom
**V**: 22.70 Å³ per atom
**SG**: Pm
**Crystal system**: monoclinic


First-principles (PBE) data for an optimized crystal structure of HgC2, as listed in Alexandria.

The structure in POSCAR format:
```
HgC2
1.0
1.309 0.756 8.577
-1.309 0.756 8.577
0.000 -1.512 8.577
Hg C
1 2
Cartesian
0.000 0.000 0.000 Hg
0.000 0.000 4.288 C
0.000 0.000 21.441 C
```

Output
**V**: 16.98 Å³ per atom
**SG**: R-3m
**Polymorph energy (0 for the lowest one)**: 5 meV per atom
**Crystal system**: trigonal
**Energy of formation from the pure elements**: 1.6 eV per formula unit


First-principles (PBE) data for an optimized crystal structure of SiAs2CBr, as listed in Alexandria.

The structure in POSCAR format:
```
SiAs2CBr
1.0
4.859 0.000 0.000
0.000 4.859 0.000
0.000 0.000 4.916
Si As C Br
1 2 1 1
Cartesian
0.000 0.000 0.000 Si
0.000 2.430 0.000 As
2.430 0.000 0.000 As
2.430 2.430 2.458 C
0.000 0.000 2.458 Br
```

Output
**E_form (uncorrected)**: 1.8537 eV per atom
**V**: 23.22 Å³ per atom
**SG**: P4/mmm
**Polymorph energy (0 for the lowest one)**: 540 meV per atom
**Crystal system**: tetragonal


First-principles (PBE) data for an optimized crystal structure of ErAlCdHg, as listed in Alexandria.

The structure in POSCAR format:
```
ErAlCdHg
1.0
0.000 3.536 3.536
3.536 0.000 3.536
3.536 3.536 0.000
Er Al Cd Hg
1 1 1 1
Cartesian
0.000 0.000 0.000 Er
3.536 3.536 3.536 Al
5.305 5.305 5.305 Cd
1.768 1.768 1.768 Hg
```

Output
**V**: 22.11 Å³ per atom
**SG**: F-43m
**Crystal system**: cubic
**Energy of formation from the pure elements**: -0.9 eV per formula unit


First-principles (PBE) data for an optimized crystal structure of Dy3Tm5H12, as listed in Alexandria.

The structure in POSCAR format:
```
Dy3Tm5H12
1.0
-6.444 6.444 6.444
6.444 -6.444 6.444
6.444 6.444 -6.444
Dy Tm H
12 20 48
Cartesian
3.222 1.611 0.000 Dy
6.444 3.222 -1.611 Dy
1.611 0.000 3.222 Dy
8.055 0.000 3.222 Dy
0.000 3.222 1.611 Dy
3.222 -1.611 6.444 Dy
3.222 8.055 0.000 Dy
6.444 3.222 4.833 Dy
-1.611 6.444 3.222 Dy
4.833 6.444 3.222 Dy
0.000 3.222 8.055 Dy
3.222 4.833 6.444 Dy
0.000 0.000 0.000 Tm
3.222 3.222 -3.222 Tm
3.222 -3.222 3.222 Tm
6.444 0.000 0.000 Tm
9.666 1.611 0.000 Tm
6.444 -3.222 4.833 Tm
4.833 6.444 -3.222 Tm
4.833 0.000 3.222 Tm
3.222 4.833 0.000 Tm
6.444 3.222 1.611 Tm
-3.222 3.222 3.222 Tm
0.000 6.444 0.000 Tm
0.000 0.000 6.444 Tm
3.222 3.222 3.222 Tm
0.000 3.222 4.833 Tm
3.222 1.611 6.444 Tm
1.611 6.444 3.222 Tm
1.611 0.000 9.666 Tm
0.000 9.666 1.611 Tm
-3.222 4.833 6.444 Tm
2.001 -0.039 0.856 H
7.665 4.078 -3.261 H
8.445 0.039 0.856 H
7.665 -2.366 3.261 H
6.405 -0.856 2.001 H
9.705 -1.221 2.366 H
0.856 2.001 -0.039 H
8.810 3.183 -1.221 H
4.078 3.261 -1.221 H
5.588 2.001 0.039 H
-0.039 0.856 2.001 H
3.261 -1.221 4.078 H
6.405 5.588 -2.001 H
3.261 1.221 2.366 H
4.078 -3.261 7.665 H
5.588 -2.001 6.405 H
2.366 3.261 1.221 H
7.300 4.443 0.039 H
3.261 7.665 -2.366 H
6.405 0.856 4.443 H
2.001 6.405 -0.856 H
7.665 2.366 3.183 H
1.221 2.366 3.261 H
2.001 0.039 5.588 H
4.443 6.405 0.856 H
5.223 4.078 3.183 H
-1.221 4.078 3.261 H
4.443 0.039 7.300 H
0.039 5.588 2.001 H
3.183 -1.221 8.810 H
-0.856 2.001 6.405 H
4.078 3.183 5.223 H
0.856 8.445 0.039 H
2.366 9.705 -1.221 H
3.183 5.223 4.078 H
0.039 0.856 8.445 H
3.183 7.665 2.366 H
6.483 5.588 4.443 H
0.856 4.443 6.405 H
2.366 3.183 7.665 H
-2.366 3.261 7.665 H
5.588 4.443 6.483 H
-3.261 7.665 4.078 H
0.039 7.300 4.443 H
-1.221 8.810 3.183 H
-2.001 6.405 5.588 H
-1.221 2.366 9.705 H
4.443 6.483 5.588 H
```

Output
**V**: 13.38 Å³ per atom
**SG**: Ia-3d
**Crystal system**: cubic
**Total DFT energy (no corrections)**: -4.29 eV per atom